[1]
An optimized crystal structure of Ti2S2Br. Source: Alexandria via LeMat-Bulk, functional GGA-PBE.

Calculated values
DOS(E_F)	5.2	states/eV/f.u.
raw formation energy	-5.2	eV per formula unit
polymorph energy (0 for the lowest one)	0.0	meV/atom
theoretical density	3.874	g cm⁻³

Cell: 4.397 4.397 6.158 Å, 69.08 69.08 90.00°
Fractional positions:
S1 0.339 0.339 0.322
S2 0.661 0.661 0.678
Br1 0.000 0.000 0.000
Ti1 0.750 0.250 0.500
Ti2 0.250 0.750 0.500

=====

[2]
An optimized crystal structure of Nb2InGa. Source: Alexandria via LeMat-Bulk, functional GGA-PBE.

Calculated values
DOS(E_F)	0.8	states/eV/f.u.
polymorph energy (0 for the lowest one)	378.4	meV/atom
formation enthalpy at 0 K	0.33	eV/atom
theoretical density	7.624	g cm⁻³

Cell: 4.000 4.000 10.470 Å, 78.99 78.99 90.00°
Fractional positions:
Nb1 0.617 0.125 0.250
Nb2 0.133 0.625 0.250
Nb3 0.375 0.383 0.750
Nb4 0.875 0.867 0.750
Ga1 0.500 0.500 0.000
Ga2 0.250 0.750 0.500
In1 0.000 0.000 0.000
In2 0.750 0.250 0.500